1.
4
Lattice="3.7917 0.0000 0.0000 0.0000 3.7917 0.0000 0.0000 0.0000 7.1073" Properties=species:S:1:pos:R:3 comment="Cd2BrCl, relaxed, DFT GGA-PBE" relative_energy_mev_per_atom=387 e_form_raw_mev_per_atom=-246 crystal_system=tetragonal final_energy_ev_per_cell=-6.33 pbc="T T T"
Cd 0.0000 0.0000 1.5842
Cd 0.0000 0.0000 5.5231
Br 1.8959 1.8959 3.5537
Cl 1.8959 1.8959 0.0000

***

2.
12
Lattice="8.9089 -2.0013 0.0000 8.9089 2.0013 0.0000 -8.8061 0.0000 10.6503" Properties=species:S:1:pos:R:3 comment="Cd2Br3Cl, relaxed, DFT GGA-PBE" e_form_raw_mev_per_atom=-916 crystal_system=monoclinic final_energy_ev_per_cell=-28.38 pbc="T T T"
Cd -1.0698 0.0000 3.9711
Cd 5.5964 0.0000 1.3201
Cd 3.4153 0.0000 9.3301
Cd 10.0814 0.0000 6.6791
Br 2.8874 0.0000 0.6284
Br 1.6634 0.0000 4.7850
Br 0.6878 0.0000 8.5900
Br 8.3239 0.0000 2.0602
Br 7.3482 0.0000 5.8653
Br 6.1242 0.0000 10.0218
Cl -5.1813 0.0000 7.5541
Cl 14.1930 0.0000 3.0962

***

3.
4
Lattice="6.1270 0.0000 0.0000 0.0000 3.7564 0.0000 -2.1033 0.0000 6.0991" Properties=species:S:1:pos:R:3 comment="Cd2BrCl, relaxed, DFT GGA-PBE" relative_energy_mev_per_atom=10 e_form_raw_mev_per_atom=-622 crystal_system=monoclinic final_energy_ev_per_cell=-7.84 pbc="T T T"
Cd 0.0434 0.0000 2.2612
Cd 3.9803 0.0000 3.8378
Br 0.0000 1.8782 0.0000
Cl 2.0119 1.8782 3.0495

***

4.
8
Lattice="4.0823 0.0000 0.0000 0.0000 5.2783 0.0000 0.0000 0.0000 9.5688" Properties=species:S:1:pos:R:3 comment="CdBrCl2, relaxed, DFT GGA-PBE" relative_energy_mev_per_atom=265 e_form_raw_mev_per_atom=-512 crystal_system=orthorhombic final_energy_ev_per_cell=-16.65 pbc="T T T"
Cd 0.0000 0.0000 0.0000
Cd 0.0000 2.6392 4.7844
Br 2.0411 0.0000 7.4956
Br 2.0411 2.6392 2.7112
Cl 0.0000 0.0000 4.7017
Cl 0.0000 2.6392 9.4861
Cl 2.0411 0.0000 1.9229
Cl 2.0411 2.6392 6.7073

***

5.
16
Lattice="8.9449 0.0000 0.0000 0.0000 8.9449 0.0000 0.0000 0.0000 5.9708" Properties=species:S:1:pos:R:3 comment="CdBrCl2, relaxed, DFT GGA-PBE" relative_energy_mev_per_atom=307 e_form_raw_mev_per_atom=-469 crystal_system=tetragonal final_energy_ev_per_cell=-32.63 pbc="T T T"
Cd 0.0000 0.0000 0.0000
Cd 0.0000 4.4724 1.4927
Cd 4.4724 0.0000 4.4781
Cd 4.4724 4.4724 2.9854
Br 0.0000 0.0000 2.9854
Br 0.0000 4.4724 4.4781
Br 4.4724 0.0000 1.4927
Br 4.4724 4.4724 0.0000
Cl 1.0889 2.2362 0.7464
Cl 2.2362 5.5613 2.2391
Cl 2.2362 7.8560 5.2245
Cl 3.3836 2.2362 3.7318
Cl 5.5613 6.7087 3.7318
Cl 6.7087 1.0889 5.2245
Cl 6.7087 3.3836 2.2391
Cl 7.8560 6.7087 0.7464

***

6.
8
Lattice="7.0849 0.0000 0.0000 0.0000 8.2366 0.0000 -3.1929 0.0000 4.0894" Properties=species:S:1:pos:R:3 comment="Cd2BrCl, relaxed, DFT GGA-PBE" relative_energy_mev_per_atom=291 e_form_raw_mev_per_atom=-342 crystal_system=monoclinic final_energy_ev_per_cell=-13.43 pbc="T T T"
Cd 1.7712 2.0591 0.0000
Cd 1.7712 6.1774 0.0000
Cd 5.3136 2.0591 0.0000
Cd 5.3136 6.1774 0.0000
Br -1.5964 0.0000 2.0447
Br 1.9460 4.1183 2.0447
Cl -1.5964 4.1183 2.0447
Cl 1.9460 0.0000 2.0447

***

7.
16
Lattice="7.1848 0.0000 0.0000 0.0000 7.1848 0.0000 0.0000 0.0000 7.1848" Properties=species:S:1:pos:R:3 comment="CdBrCl2, relaxed, DFT GGA-PBE" relative_energy_mev_per_atom=725 e_form_raw_mev_per_atom=-51 crystal_system=cubic final_energy_ev_per_cell=-25.94 pbc="T T T"
Cd 0.0000 0.0000 0.0000
Cd 0.0000 3.5924 3.5924
Cd 3.5924 0.0000 3.5924
Cd 3.5924 3.5924 0.0000
Br 0.0000 0.0000 3.5924
Br 0.0000 3.5924 0.0000
Br 3.5924 0.0000 0.0000
Br 3.5924 3.5924 3.5924
Cl 1.7962 1.7962 1.7962
Cl 1.7962 1.7962 5.3886
Cl 1.7962 5.3886 1.7962
Cl 1.7962 5.3886 5.3886
Cl 5.3886 1.7962 1.7962
Cl 5.3886 1.7962 5.3886
Cl 5.3886 5.3886 1.7962
Cl 5.3886 5.3886 5.3886

***

8.
8
Lattice="3.9057 0.0000 0.0000 0.0000 6.6525 0.0000 0.0000 0.0000 9.2070" Properties=species:S:1:pos:R:3 comment="Cd2BrCl, relaxed, DFT GGA-PBE" relative_energy_mev_per_atom=136 e_form_raw_mev_per_atom=-497 crystal_system=orthorhombic final_energy_ev_per_cell=-14.68 pbc="T T T"
Cd 0.0000 0.0000 0.0000
Cd 0.0000 3.3263 2.2837
Cd 1.9529 0.0000 2.2837
Cd 1.9529 3.3263 0.0000
Br 0.0000 3.3263 7.3645
Br 1.9529 0.0000 7.3645
Cl 0.0000 0.0000 3.9579
Cl 1.9529 3.3263 3.9579

***

9.
6
Lattice="0.0000 4.2521 4.2521 4.2521 0.0000 4.2521 4.2521 4.2521 0.0000" Properties=species:S:1:pos:R:3 comment="Cd4BrCl, relaxed, DFT GGA-PBE" e_form_raw_mev_per_atom=-114 crystal_system=cubic final_energy_ev_per_cell=-7.87 pbc="T T T"
Cd 1.0629 1.0629 1.0629
Cd 3.1892 3.1892 1.0629
Cd 3.1892 1.0629 3.1892
Cd 1.0629 3.1892 3.1892
Br 4.2521 4.2521 4.2521
Cl 6.3782 6.3782 6.3782

***

10.
8
Lattice="4.1596 0.0000 0.0000 0.0000 6.8902 0.0000 0.0000 0.0000 8.1595" Properties=species:S:1:pos:R:3 comment="Cd2BrCl, relaxed, DFT GGA-PBE" relative_energy_mev_per_atom=303 e_form_raw_mev_per_atom=-330 crystal_system=orthorhombic final_energy_ev_per_cell=-13.34 pbc="T T T"
Cd 0.0000 0.0000 1.9747
Cd 0.0000 0.0000 6.1848
Cd 2.0798 3.4451 2.1051
Cd 2.0798 3.4451 6.0545
Br 0.0000 3.4451 0.0000
Br 2.0798 0.0000 4.0798
Cl 0.0000 3.4451 4.0798
Cl 2.0798 0.0000 0.0000

***

11.
16
Lattice="7.3838 0.0000 0.0000 0.0000 7.3838 0.0000 0.0000 0.0000 7.3838" Properties=species:S:1:pos:R:3 comment="Cd2BrCl, relaxed, DFT GGA-PBE" relative_energy_mev_per_atom=389 e_form_raw_mev_per_atom=-244 crystal_system=cubic final_energy_ev_per_cell=-25.30 pbc="T T T"
Cd 1.8460 1.8460 1.8460
Cd 1.8460 1.8460 5.5379
Cd 1.8460 5.5379 1.8460
Cd 1.8460 5.5379 5.5379
Cd 5.5379 1.8460 1.8460
Cd 5.5379 1.8460 5.5379
Cd 5.5379 5.5379 1.8460
Cd 5.5379 5.5379 5.5379
Br 0.0000 0.0000 0.0000
Br 0.0000 3.6919 3.6919
Br 3.6919 0.0000 3.6919
Br 3.6919 3.6919 0.0000
Cl 0.0000 0.0000 3.6919
Cl 0.0000 3.6919 0.0000
Cl 3.6919 0.0000 0.0000
Cl 3.6919 3.6919 3.6919

***

12.
12
Lattice="4.3374 0.0000 0.0000 -2.1687 3.7563 0.0000 0.0000 0.0000 20.9920" Properties=species:S:1:pos:R:3 comment="Cd2BrCl, relaxed, DFT GGA-PBE" relative_energy_mev_per_atom=271 e_form_raw_mev_per_atom=-362 crystal_system=trigonal final_energy_ev_per_cell=-20.39 pbc="T T T"
Cd 0.0000 0.0000 5.1723
Cd 0.0000 0.0000 15.8197
Cd 0.0000 2.5042 8.8224
Cd 0.0000 2.5042 19.1670
Cd 2.1687 1.2521 1.8250
Cd 2.1687 1.2521 12.1697
Br 0.0000 0.0000 0.0000
Br 0.0000 2.5042 13.9947
Br 2.1687 1.2521 6.9973
Cl 0.0000 0.0000 10.4960
Cl 0.0000 2.5042 3.4987
Cl 2.1687 1.2521 17.4933